(1)
HgBi2P2 after structural relaxation, computed with PBE.

Summary:
VASP energy: -34.4 eV/cell
Calculated formation energy: 1.7 eV per formula unit
Offset from the most stable computed form: 133 meV/atom

Lattice parameters (Å, degrees): 7.9876 7.9876 3.8106 90.00 90.00 90.00
With the nearest neighbours (Å) after each atom.
Space group P4/mbm (No. 127)
Unique sites:
Hg (0.0000, 0.0000, 0.0000) (multiplicity 2)  4 P 3.02
Bi (0.1551, 0.3449, 0.5000) (multiplicity 4)  6 P 2.86-3.13
P (0.1561, 0.6561, 0.0000) (multiplicity 4)  6 Bi 2.86-3.13, 2 Hg 3.02

***

(2)
TbSn3Rh2 after structural relaxation, computed with PBE.

Summary:
VASP energy: -67.9 eV/cell
Calculated formation energy: -2.6 eV per formula unit

Lattice parameters (Å, degrees): 6.6100 6.6100 6.8309 90.00 90.00 120.00
With the nearest neighbours (Å) after each atom.
Space group P-3m1 (No. 164)
Unique sites:
Tb (0.3333, 0.6667, 0.3205) (multiplicity 2)  3 Rh 2.90
Sn (0.1687, 0.3375, 0.7145) (multiplicity 6)  3 Rh 2.72-2.75
Rh (0.0000, 0.0000, 0.0000) (multiplicity 1)  6 Sn 2.75
Rh (0.0000, 0.5000, 0.0000) (multiplicity 3)  4 Sn 2.72, 2 Tb 2.90

***

(3)
YAsPCl2 after structural relaxation, computed with PBE.

Summary:
VASP energy: -21.3 eV/cell
Energy relative to the elements, uncorrected: -0.22 eV per atom
Offset from the most stable computed form: 267 meV/atom

Lattice parameters (Å, degrees): 4.7942 4.7942 5.2135 90.00 90.00 90.00
With the nearest neighbours (Å) after each atom.
Space group P4/mmm (No. 123)
Unique sites:
Y (0.0000, 0.0000, 0.0000) (multiplicity 1)  4 P 3.39, 8 Cl 3.54
As (0.5000, 0.5000, 0.5000) (multiplicity 1)  4 Cl 2.40, 2 P 2.61
P (0.5000, 0.5000, 0.0000) (multiplicity 1)  2 As 2.61
Cl (0.0000, 0.5000, 0.5000) (multiplicity 2)  2 As 2.40

***

(4)
AlTe2W after structural relaxation, computed with PBE.

Summary:
VASP energy: -64.8 eV/cell
Energy relative to the elements, uncorrected: 0.35 eV per atom

Lattice parameters (Å, degrees): 3.4165 3.4165 28.1531 90.00 90.00 120.00
With the nearest neighbours (Å) after each atom.
Space group R-3m (No. 166, hexagonal axes)
Unique sites:
Al (0.0000, 0.0000, 0.0000) (multiplicity 3)  6 Te 3.40, 6 Al 3.42
Te (0.0000, 0.0000, 0.2351) (multiplicity 6)  3 W 2.76
W (0.0000, 0.0000, 0.5000) (multiplicity 3)  6 Te 2.76

***

(5)
CeGa3Pd after structural relaxation, computed with PBE.

Summary:
VASP energy: -47.1 eV/cell
Calculated formation energy: -3.3 eV per formula unit
Offset from the most stable computed form: 12 meV/atom

Lattice parameters (Å, degrees): 4.3015 4.3015 10.6155 90.00 90.00 90.00
With the nearest neighbours (Å) after each atom.
Space group I4mm (No. 107)
Unique sites:
Ce (0.0000, 0.0000, 0.0000) (multiplicity 2)  12 Ga 3.18-3.54, 4 Pd 3.40
Ga (0.0000, 0.0000, 0.5859) (multiplicity 2)  1 Pd 2.44, 4 Ga 2.67
Ga (0.0000, 0.5000, 0.2355) (multiplicity 4)  2 Pd 2.50, 2 Ga 2.67
Pd (0.0000, 0.0000, 0.3560) (multiplicity 2)  5 Ga 2.44-2.50

***

(6)
Tm4In5Au2 after structural relaxation, computed with PBE.

Summary:
VASP energy: -44.3 eV/cell
Calculated formation energy: -6.1 eV per formula unit

Lattice parameters (Å, degrees): 7.7736 3.5922 9.7259 90.00 94.51 90.00
With the nearest neighbours (Å) after each atom.
Space group P2/m (No. 10)
Unique sites:
Tm (0.1901, 0.0000, 0.3638) (multiplicity 2)  2 Au 2.92, 2 In 3.21
Tm (0.2294, 0.0000, 0.9349) (multiplicity 2)  4 Au 2.99-3.02, 2 In 3.25
In (0.1637, 0.5000, 0.6426) (multiplicity 2)  1 Au 2.94, 2 In 3.05-3.28, 4 Tm 3.27-3.28
In (0.4620, 0.5000, 0.1773) (multiplicity 2)  1 Au 3.00, 2 In 3.13-3.28, 2 Tm 3.25
In (0.5000, 0.5000, 0.5000) (multiplicity 1)  4 In 3.05-3.13, 4 Tm 3.21
Au (0.0757, 0.5000, 0.1386) (multiplicity 2)  1 Au 2.85, 6 Tm 2.92-3.02, 2 In 2.94-3.00

***

(7)
CaFePt2 after structural relaxation, computed with PBE.

Summary:
VASP energy: -23.8 eV/cell
Calculated formation energy: -1.3 eV per formula unit

Lattice parameters (Å, degrees): 2.9218 4.7508 4.9396 90.00 90.75 90.00
With the nearest neighbours (Å) after each atom.
Space group Pm (No. 6)
Unique sites:
Ca (0.0000, 0.0000, 0.0000) (multiplicity 1)  8 Pt 2.83-2.90, 2 Ca 2.92, 2 Fe 3.15
Fe (0.9759, 0.5000, 0.4173) (multiplicity 1)  7 Pt 2.71-2.96, 2 Fe 2.92
Pt (0.4964, 0.0000, 0.4965) (multiplicity 1)  4 Fe 2.79-2.84, 4 Ca 2.83-2.90, 4 Pt 2.92-3.05
Pt (0.4972, 0.5000, 0.8844) (multiplicity 1)  3 Fe 2.71-2.96, 4 Ca 2.85, 2 Pt 2.92

***

(8)
Fe2TcTe after structural relaxation, computed with PBE.

Summary:
VASP energy: -57.2 eV/cell
Energy relative to the elements, uncorrected: 0.46 eV per atom

Lattice parameters (Å, degrees): 3.8551 3.8551 7.3923 90.00 90.00 90.00
With the nearest neighbours (Å) after each atom.
Space group I4/mmm (No. 139)
Unique sites:
Fe (0.0000, 0.5000, 0.2500) (multiplicity 4)  4 Tc 2.67, 4 Te 2.67, 4 Fe 2.73
Tc (0.0000, 0.0000, 0.0000) (multiplicity 2)  8 Fe 2.67, 4 Te 2.73
Te (0.0000, 0.0000, 0.5000) (multiplicity 2)  8 Fe 2.67, 4 Tc 2.73

***

(9)
KLaP2 after structural relaxation, computed with PBE.

Summary:
VASP energy: -67.2 eV/cell
Calculated formation energy: 0.1 eV per formula unit
Offset from the most stable computed form: 881 meV/atom

Lattice parameters (Å, degrees): 7.2051 7.2051 7.2051 90.00 90.00 90.00
With the nearest neighbours (Å) after each atom.
Space group F-43m (No. 216)
Unique sites:
K (0.0000, 0.0000, 0.0000) (multiplicity 4)  4 La 3.12, 4 P 3.12
La (0.2500, 0.2500, 0.2500) (multiplicity 4)  4 P 3.12, 4 K 3.12
P (0.0000, 0.0000, 0.5000) (multiplicity 4)  4 P 3.12, 4 La 3.12
P (0.2500, 0.2500, 0.7500) (multiplicity 4)  4 K 3.12, 4 P 3.12

***

(10)
Tb6TeP3S2 after structural relaxation, computed with PBE.

Summary:
VASP energy: -152.6 eV/cell
Energy relative to the elements, uncorrected: -1.74 eV per atom

Lattice parameters (Å, degrees): 17.7539 4.0398 8.1775 90.00 104.06 90.00
With the nearest neighbours (Å) after each atom.
Space group C2/m (No. 12)
Unique sites:
Tb (0.0010, 0.0000, 0.2250) (multiplicity 4)  3 P 2.73-2.82, 1 S 2.93, 2 Te 3.03
Tb (0.1650, 0.5000, 0.0884) (multiplicity 4)  3 P 2.83-2.84, 3 S 2.87-2.91
Tb (0.1764, 0.5000, 0.5813) (multiplicity 4)  3 P 2.74-2.85, 2 S 2.92, 1 Te 3.04
Te (0.0000, 0.5000, 0.5000) (multiplicity 2)  6 Tb 3.03-3.04
P (0.0000, 0.5000, 0.0000) (multiplicity 2)  6 Tb 2.73-2.84
P (0.1645, 0.0000, 0.3310) (multiplicity 4)  6 Tb 2.74-2.85
S (0.1685, 0.0000, 0.8349) (multiplicity 4)  6 Tb 2.87-2.93

***

(11)
NdCo3Ge3 after structural relaxation, computed with PBE.

Summary:
VASP energy: -80.6 eV/cell
Calculated formation energy: -0.4 eV per formula unit
Offset from the most stable computed form: 277 meV/atom

Lattice parameters (Å, degrees): 6.3906 6.3906 6.3906 90.00 90.00 90.00
With the nearest neighbours (Å) after each atom.
Space group Pm-3n (No. 223)
Unique sites:
Nd (0.0000, 0.0000, 0.0000) (multiplicity 2)  12 Ge 3.57, 12 Co 3.57
Co (0.0000, 0.2500, 0.5000) (multiplicity 6)  4 Ge 2.26
Ge (0.0000, 0.5000, 0.2500) (multiplicity 6)  4 Co 2.26

***

(12)
MnAs after structural relaxation, computed with PBE.

Summary:
VASP energy: -81.0 eV/cell
Calculated formation energy: 0.3 eV per formula unit

Lattice parameters (Å, degrees): 2.8106 2.8106 29.9269 90.00 90.00 120.00
With the nearest neighbours (Å) after each atom.
Space group R-3m (No. 166, hexagonal axes)
Unique sites:
Mn (0.0000, 0.0000, 0.1353) (multiplicity 6)  3 As 2.47, 3 Mn 2.48
As (0.0000, 0.0000, 0.4063) (multiplicity 6)  3 Mn 2.47